(1)
! PBE NaTeRuO6, optimized geometry; values from VASP
&SYSTEM
  ibrav = 0, nat = 18, ntyp = 4
/
ATOMIC_SPECIES
Na 22.99 Na.upf
Te 127.60 Te.upf
Ru 101.07 Ru.upf
O 16.00 O.upf
CELL_PARAMETERS angstrom
4.774 0.000 0.000
0.000 4.774 0.000
0.000 0.000 9.474
ATOMIC_POSITIONS angstrom
Na 0.000 0.000 0.000
Na 2.387 2.387 4.737
Te 0.000 0.000 3.177
Te 2.387 2.387 7.914
Ru 0.000 0.000 6.301
Ru 2.387 2.387 1.564
O 0.863 0.863 4.827
O 1.023 1.023 7.807
O 1.031 1.031 1.757
O 1.356 3.418 6.494
O 1.364 3.410 3.070
O 1.524 3.250 0.090
O 3.250 1.524 0.090
O 3.410 1.364 3.070
O 3.418 1.356 6.494
O 3.743 3.743 1.757
O 3.751 3.751 7.807
O 3.911 3.911 4.827
! Formation energy from raw total energies ... -8.7 eV/f.u.

***

(2)
! PBE NaTeRuO5, optimized geometry; values from VASP
&SYSTEM
  ibrav = 0, nat = 16, ntyp = 4
/
ATOMIC_SPECIES
Na 22.99 Na.upf
Te 127.60 Te.upf
Ru 101.07 Ru.upf
O 16.00 O.upf
CELL_PARAMETERS angstrom
3.674 -4.442 0.000
3.674 4.442 0.000
-3.657 0.000 6.830
ATOMIC_POSITIONS angstrom
Na 0.931 3.748 5.122
Na 2.759 -3.748 1.707
Te 0.931 0.375 5.122
Te 2.759 -0.375 1.707
Ru 1.837 2.221 0.000
Ru 0.008 -2.221 3.415
O 1.559 0.236 0.217
O -0.077 1.813 5.920
O -0.270 -0.236 3.632
O 2.759 2.002 1.707
O 1.938 1.813 4.325
O 1.752 -1.813 2.505
O 0.931 -2.002 5.122
O 3.960 0.236 3.198
O 3.766 -1.813 0.910
O 2.131 -0.236 6.612
! Formation energy from raw total energies ... -8.5 eV/f.u.

***

(3)
! PBE Na2ThRuO6, optimized geometry; values from VASP
&SYSTEM
  ibrav = 0, nat = 10, ntyp = 4
/
ATOMIC_SPECIES
Na 22.99 Na.upf
Th 232.04 Th.upf
Ru 101.07 Ru.upf
O 16.00 O.upf
CELL_PARAMETERS angstrom
5.806 0.000 0.000
0.000 5.806 0.000
0.000 0.000 4.584
ATOMIC_POSITIONS angstrom
Na 0.000 2.903 0.000
Na 2.903 0.000 0.000
Th 0.000 0.000 2.901
Ru 2.903 2.903 2.623
O 0.000 0.000 0.661
O 1.611 1.611 3.201
O 1.611 4.195 3.201
O 2.903 2.903 0.916
O 4.195 1.611 3.201
O 4.195 4.195 3.201
! Formation energy from raw total energies ... -18.8 eV/f.u.

***

(4)
! PBE NaTiRuO6, optimized geometry; values from VASP
&SYSTEM
  ibrav = 0, nat = 18, ntyp = 4
/
ATOMIC_SPECIES
Na 22.99 Na.upf
Ti 47.87 Ti.upf
Ru 101.07 Ru.upf
O 16.00 O.upf
CELL_PARAMETERS angstrom
5.147 0.000 0.000
-2.573 4.457 0.000
0.000 0.000 10.376
ATOMIC_POSITIONS angstrom
Na 0.000 0.000 0.000
Na 0.000 0.000 5.188
Ti 0.000 2.971 2.594
Ti 2.573 1.486 7.782
Ru 0.000 2.971 7.782
Ru 2.573 1.486 2.594
O -0.933 1.692 6.718
O -1.574 2.803 8.846
O 0.933 1.692 8.846
O -0.641 4.419 6.718
O 1.932 0.039 1.530
O 0.999 1.654 3.658
O 1.574 2.803 6.718
O 0.641 4.419 8.846
O 3.215 0.039 3.658
O 1.641 2.765 1.530
O 4.147 1.654 1.530
O 3.506 2.765 3.658
! Formation energy from raw total energies ... -14.1 eV/f.u.

***

Computed ρ, in the same sequence as the records: 5.347, 4.941, 5.105, 3.738 Mg/m³.
Computed final energy, in the same sequence as the records: -104.4, -94.1, -67.9, -124.6 eV for the cell shown.